Below is a relaxed Pu5Bi2N crystal, with properties calculated at the PBE level.

Properties
ΔE_f (raw): -0.15 eV per atom
Density of states at the Fermi level: 52.3 states/eV per cell
Theoretical density: 13006 kg/m3
Electronic total energy: -177.96 eV/cell

```
16
Lattice="-1.859 -2.648 -1.156 6.640 0.218 -6.070 7.475 -8.682 7.866" Properties=species:S:1:pos:R:3 pbc="T T T"
Pu 8.413 -7.055 2.632
Pu 8.155 -7.511 -1.014
Bi 7.439 -7.762 5.816
Pu 3.844 -4.057 -1.993
Bi 5.589 -5.613 3.869
Pu 2.038 -1.205 -0.517
Pu 3.485 -0.885 -3.574
N 8.435 -8.564 0.946
Pu 5.469 -6.391 0.739
Pu 10.218 -9.907 1.157
Bi 6.667 -5.499 -3.230
N 3.822 -2.549 -0.307
Pu 8.772 -10.227 4.214
Pu 4.102 -3.601 1.654
Pu 6.787 -4.721 -0.099
Bi 4.817 -3.350 -5.176
```